No. 1
A plane-wave DFT calculation with PBE was carried out for a geometry-optimized Ac8HIr4 structure.

```
13
Lattice="-7.852 -3.516 -1.028 -2.742 -6.149 5.454 -6.305 1.745 5.680" Properties=species:S:1:pos:R:3 pbc="T T T"
Ac -10.481 -4.912 6.268
Ac -6.705 -3.221 6.762
Ac -9.163 -1.955 3.645
Ac -2.260 -1.059 1.352
Ac -5.911 -2.694 0.873
Ac -7.449 -5.751 3.536
Ac -5.192 -0.248 3.993
Ac -3.535 -3.919 3.888
Ir -6.348 -2.975 3.796
Ir -7.712 -6.034 6.509
Ir -9.484 -2.107 6.622
Ir -10.254 -4.724 3.284
H -12.674 -5.940 7.579
```

=====

No. 2
A plane-wave DFT calculation with PBE was carried out for a geometry-optimized HoTh2SnC structure.

```
5
Lattice="-4.736 0.838 1.122 -0.062 -4.175 2.852 1.433 2.721 4.014" Properties=species:S:1:pos:R:3 pbc="T T T"
Sn -1.683 -0.308 3.994
Ho -2.368 0.419 0.561
C 0.000 0.000 0.000
Th -0.031 -2.087 1.426
Th 0.716 1.361 2.007
```

Computed properties:
- energy relative to the elements (eV per atom) = -0.440

=====

No. 3
A plane-wave DFT calculation with PBE was carried out for a geometry-optimized ZrTaPt2 structure.

```
4
Lattice="4.088 0.000 0.000 0.000 4.088 0.000 0.000 0.000 4.136" Properties=species:S:1:pos:R:3 pbc="T T T"
Ta 2.044 0.000 2.068
Zr 0.000 2.044 2.068
Pt 0.000 0.000 0.000
Pt 2.044 2.044 0.000
```

Computed properties:
- energy relative to the elements (eV per atom) = -0.722

=====

No. 4
A plane-wave DFT calculation with PBE was carried out for a geometry-optimized LaSiSbI2 structure.

```
5
Lattice="-3.426 4.030 3.124 -0.847 -4.161 4.439 5.301 2.156 3.033" Properties=species:S:1:pos:R:3 pbc="T T T"
Sb 2.651 1.078 1.516
I -0.424 -2.080 2.219
I -1.713 2.015 1.562
Si 0.514 1.012 5.298
La 0.000 0.000 0.000
```

Computed properties:
- energy above the lowest structure with this stoichiometry (meV per atom) = 339

=====

No. 5
A plane-wave DFT calculation with PBE was carried out for a geometry-optimized Th3Ag structure.

```
4
Lattice="5.486 0.000 0.000 2.743 4.751 0.000 2.743 1.584 4.479" Properties=species:S:1:pos:R:3 pbc="T T T"
Th 0.000 0.000 0.000
Th 8.229 4.751 3.359
Th 2.743 1.584 1.120
Ag 5.486 3.167 2.240
```

Computed properties:
- energy above the lowest structure with this stoichiometry (meV per atom) = 148
- energy relative to the elements (eV per atom) = 0.165

=====

No. 6
A plane-wave DFT calculation with PBE was carried out for a geometry-optimized CdHgBr4 structure.

```
6
Lattice="4.089 0.000 0.000 -2.045 6.958 -3.471 0.000 -0.210 7.091" Properties=species:S:1:pos:R:3 pbc="T T T"
Cd 2.045 -0.105 3.546
Br 2.045 5.242 1.178
Br 0.000 1.506 2.443
Br 0.000 5.330 -2.304
Br 2.045 1.418 5.925
Hg 0.000 0.000 0.000
```

Computed properties:
- energy above the lowest structure with this stoichiometry (meV per atom) = 0

=====

No. 7
A plane-wave DFT calculation with PBE was carried out for a geometry-optimized KSrRu2 structure.

```
8
Lattice="-6.609 5.287 -1.469 -5.020 -6.754 -1.724 -6.507 -0.880 0.992" Properties=species:S:1:pos:R:3 pbc="T T T"
Ru -5.579 -3.789 -1.011
Ru -6.396 2.249 -0.888
Ru -15.063 -1.955 -2.053
Ru -9.233 -1.199 -0.451
K -8.670 -4.184 -1.164
K -5.814 -0.734 -1.597
Sr 0.000 0.000 0.000
Sr -9.465 1.837 -1.037
```

Computed properties:
- energy above the lowest structure with this stoichiometry (meV per atom) = 1017
- energy relative to the elements (eV per atom) = 1.420

=====

No. 8
A plane-wave DFT calculation with PBE was carried out for a geometry-optimized LiIr2Br structure.

```
4
Lattice="3.398 0.000 0.000 0.000 3.398 0.000 0.000 0.000 6.758" Properties=species:S:1:pos:R:3 pbc="T T T"
Ir 0.000 0.000 0.775
Ir 1.699 1.699 1.580
Br 1.699 1.699 4.309
Li 0.000 0.000 3.472
```

Computed properties:
- energy above the lowest structure with this stoichiometry (meV per atom) = 51

=====

No. 9
A plane-wave DFT calculation with PBE was carried out for a geometry-optimized YTh5Sc4 structure.

```
10
Lattice="-3.139 1.288 -0.756 -1.436 -3.088 0.700 -2.863 6.565 23.087" Properties=species:S:1:pos:R:3 pbc="T T T"
Th -4.279 3.667 16.035
Th -3.158 1.098 6.997
Th -3.719 2.383 11.516
Th -4.841 4.955 20.564
Th -2.597 -0.190 2.468
Sc -0.591 1.355 4.765
Sc -1.711 3.924 13.802
Sc -1.151 2.640 9.285
Sc -2.272 5.210 18.323
Y 0.000 0.000 0.000
```

Computed properties:
- energy relative to the elements (eV per atom) = 0.034

=====

No. 10
A plane-wave DFT calculation with PBE was carried out for a geometry-optimized YGe3Pt2 structure.

```
12
Lattice="-1.367 -3.351 -2.054 4.517 1.686 -5.758 3.470 -3.182 7.099" Properties=species:S:1:pos:R:3 pbc="T T T"
Y 5.487 -3.799 -1.669
Y 1.133 -1.048 0.955
Pt 0.252 -1.440 -2.035
Pt 2.137 -4.018 0.917
Pt 4.483 -0.830 -1.630
Pt 6.368 -3.408 1.321
Ge 2.472 -2.656 -1.529
Ge 4.515 -5.108 1.113
Ge 2.105 0.261 -1.827
Ge 4.091 -1.782 -4.032
Ge 2.528 -3.065 3.318
Ge 4.148 -2.192 0.815
```

Computed properties:
- energy relative to the elements (eV per atom) = -0.708

=====

No. 11
A plane-wave DFT calculation with PBE was carried out for a geometry-optimized LaZr2Al structure.

```
4
Lattice="-1.593 -2.923 -0.561 1.611 0.141 -5.308 4.282 -2.569 1.231" Properties=species:S:1:pos:R:3 pbc="T T T"
Zr 0.000 0.000 0.000
Zr 0.009 -1.391 -2.934
Al 1.345 -2.746 0.335
La 2.946 -1.214 -2.038
```

Computed properties:
- energy relative to the elements (eV per atom) = 0.000

=====

No. 12
A plane-wave DFT calculation with PBE was carried out for a geometry-optimized TlSn2HgSe4 structure.

```
16
Lattice="-2.364 0.339 -3.595 1.010 -7.162 1.251 -12.843 -0.342 8.413" Properties=species:S:1:pos:R:3 pbc="T T T"
Se -9.789 -6.643 5.810
Se -5.154 -3.819 3.029
Se -12.748 -3.443 5.467
Se -6.421 -0.171 4.206
Se -9.043 -3.345 3.040
Se -4.408 -0.521 0.258
Se 0.000 0.000 0.000
Se -1.449 -3.721 0.602
Tl -9.677 -2.074 6.168
Tl -4.520 -5.090 -0.099
Sn -7.245 -5.396 4.255
Sn -1.922 -1.634 -1.481
Sn -6.952 -1.768 1.814
Sn -12.275 -5.529 7.550
Hg -10.934 -4.955 4.131
Hg -3.263 -2.209 1.937
```

=====

no.,uncorrected energy (eV per cell),calculated density (g/cm3)
1,-79.2,9.34
2,-34.8,9.99
3,-35.4,15.91
4,-16.6,3.69
5,-24.5,11.44
6,-11.7,5.28
7,-31.3,5.52
8,-20.7,10.03
9,-68.6,8.12
10,-73.3,10.30
11,-25.8,6.00
12,-53.7,6.84